A plane-wave DFT calculation with PBE was carried out for a relaxed Dy2BiPd crystal.

Calculated values
- crystal system = tetragonal
- density of states at the Fermi level (states/eV/f.u.) = 2.8
- magnetization (μB/f.u.) = 0.00
- energy of formation from the pure elements (eV/atom) = -0.7006

Cell lengths 3.683, 3.683, 7.489 Å; angles 90.00, 90.00, 90.00 degrees
Fractional coordinates of all 4 atoms:
Dy  0.000  0.000  0.779
Dy  0.000  0.000  0.221
Pd  0.500  0.500  0.000
Bi  0.500  0.500  0.500